*1*
A plane-wave DFT calculation with PBE-GGA was carried out for TeBr2 after structural relaxation.

Cell: 8.7835 8.7835 7.8374 Å, 64.96 64.96 27.30°
Atoms (fractional coordinates):
Br: 0.7359 0.7359 0.3592
Br: 0.9684 0.9684 0.5826
Br: 0.6238 0.6238 0.0330
Br: 0.4294 0.4294 0.0203
Te: 0.2741 0.2741 0.0672
Te: 0.8018 0.8018 0.7709

The magnetic moment is 0.000 μB per cell.

*2*
A plane-wave DFT calculation with PBE-GGA was carried out for TeBr2 after structural relaxation.

Cell: 8.0180 8.0180 9.4577 Å, 57.80 57.80 28.63°
Atoms (fractional coordinates):
Br: 0.3680 0.3680 0.2670
Br: 0.6320 0.6320 0.7330
Br: 0.3670 0.3670 0.7685
Br: 0.6330 0.6330 0.2315
Te: 0.9995 0.9995 0.7508
Te: 0.0005 0.0005 0.2492

The magnetic moment is 0.000 μB per cell.

Least stable structure: *2*

*1*
A plane-wave DFT calculation with PBE-GGA was carried out for TeBr2 after structural relaxation.

Cell: 3.9503 9.3078 13.0194 Å, 90.00 90.00 90.00°
Atoms (fractional coordinates):
Br: 0.7500 0.5288 0.2774
Br: 0.2500 0.9712 0.7774
Br: 0.7500 0.3007 0.9884
Br: 0.2500 0.6993 0.0116
Br: 0.7500 0.0288 0.2226
Br: 0.2500 0.4712 0.7226
Br: 0.2500 0.1993 0.4884
Br: 0.7500 0.8007 0.5116
Te: 0.2500 0.1658 0.1060
Te: 0.7500 0.8342 0.8940
Te: 0.2500 0.6658 0.3940
Te: 0.7500 0.3342 0.6060

The magnetic moment is 0.000 μB per cell.

*2*
A plane-wave DFT calculation with PBE-GGA was carried out for TeBr2 after structural relaxation.

Cell: 4.3279 5.8041 9.3217 Å, 106.42 102.74 90.00°
Atoms (fractional coordinates):
Br: 0.0886 0.8505 0.6602
Br: 0.6573 0.3802 0.8050
Br: 0.9114 0.1495 0.3398
Br: 0.3427 0.6198 0.1950
Te: 0.7820 0.1965 0.0672
Te: 0.2180 0.8035 0.9328

The magnetic moment is 0.000 μB per cell.

Least stable structure: *1*

*1*
A plane-wave DFT calculation with PBE-GGA was carried out for TeBr2 after structural relaxation.

Cell: 3.5553 3.5553 8.0234 Å, 90.00 90.00 120.00°
Atoms (fractional coordinates):
Br: 0.3333 0.6667 0.2874
Br: 0.6667 0.3333 0.7126
Te: 0.0000 0.0000 0.0000

The magnetic moment is 0.000 μB per cell.

*2*
A plane-wave DFT calculation with PBE-GGA was carried out for TeBr2 after structural relaxation.

Cell: 4.6872 5.3447 5.3447 Å, 90.00 83.50 89.94°
Atoms (fractional coordinates):
Br: 0.7672 0.7700 0.9510
Br: 0.4485 0.2683 0.4801
Te: 0.6075 0.7701 0.4641

The magnetic moment is 0.000 μB per cell.

Least stable structure: *1*

*1*
A plane-wave DFT calculation with PBE-GGA was carried out for TeBr2 after structural relaxation.

Cell: 5.5683 5.5683 3.6384 Å, 90.00 90.00 90.00°
Atoms (fractional coordinates):
Br: 0.5000 0.0000 0.5000
Br: 0.0000 0.5000 0.5000
Te: 0.0000 0.0000 0.5000

The magnetic moment is 0.000 μB per cell.

*2*
A plane-wave DFT calculation with PBE-GGA was carried out for TeBr2 after structural relaxation.

Cell: 6.8187 6.8187 10.2567 Å, 90.00 90.00 120.00°
Atoms (fractional coordinates):
Br: 0.1665 0.3330 0.7500
Br: 0.6670 0.8335 0.7500
Br: 0.0000 0.0000 0.0000
Br: 0.8335 0.6670 0.2500
Br: 0.8335 0.1665 0.2500
Br: 0.3330 0.1665 0.2500
Br: 0.1665 0.8335 0.7500
Br: 0.0000 0.0000 0.5000
Te: 0.3333 0.6667 0.9501
Te: 0.6667 0.3333 0.0499
Te: 0.3333 0.6667 0.5499
Te: 0.6667 0.3333 0.4501

The magnetic moment is 0.000 μB per cell.

Least stable structure: *2*